[1]
Rb2HgIBr3 (GGA-PBE, optimized geometry); uncorrected formation energy = -1.095 eV/atom; space group = Immm, No. 71
1.0
5.953 0.000 0.000
0.000 5.812 0.000
-2.976 -2.906 8.601
Rb Hg I Br
2 1 1 3
direct
0.639 0.639 0.278
0.361 0.361 0.722
0.000 0.000 0.000
0.500 0.000 0.000
0.000 0.500 0.000
0.163 0.163 0.326
0.837 0.837 0.674

[2]
LaPmEuSn (GGA-PBE, optimized geometry); formation enthalpy at 0 K = -0.308 eV/atom; space group = F-43m, No. 216
1.0
-0.780 2.238 -5.100
1.356 -2.940 -4.598
-4.046 -1.995 -3.357
Eu La Sn Pm
1 1 1 1
direct
0.750 0.750 0.750
0.500 0.500 0.500
0.250 0.250 0.250
0.000 0.000 0.000

[3]
Sr4Th3UN8 (GGA-PBE, optimized geometry); uncorrected formation energy = -1.280 eV/atom; space group = R-3m, No. 166
1.0
-5.763 -4.029 2.258
3.283 -1.021 6.557
-1.058 6.845 -2.564
Sr Th U N
4 3 1 8
direct
0.500 0.000 0.000
0.500 0.000 0.500
0.000 0.000 0.000
0.000 0.000 0.500
0.500 0.500 0.000
0.500 0.500 0.500
0.000 0.500 0.500
0.000 0.500 0.000
0.224 0.701 0.977
0.224 0.701 0.448
0.265 0.295 0.530
0.754 0.701 0.977
0.246 0.299 0.023
0.735 0.705 0.470
0.776 0.299 0.552
0.776 0.299 0.023

[4]
Te2IrBr (GGA-PBE, optimized geometry); polymorph energy (0 for the lowest one) = 326 meV/atom; uncorrected formation energy = 0.062 eV/atom; space group = Cmcm, No. 63
1.0
-3.540 11.030 6.067
2.827 -9.093 -8.963
-4.716 -1.573 0.108
Ir Te Br
2 4 2
direct
0.313 0.687 0.250
0.687 0.313 0.750
0.209 0.791 0.250
0.791 0.209 0.750
0.884 0.116 0.250
0.116 0.884 0.750
0.062 0.938 0.250
0.938 0.062 0.750

Number 1: energy -2.3528 eV per atom. Number 2: energy -6.2972 eV per atom. Number 3: energy -7.9595 eV per atom. Number 4: energy -4.1421 eV per atom.